The following is a DFT calculation (PBEsol) of a relaxed structure of KTcP2.

Lattice parameters (Å, degrees): 3.238 3.238 8.353 78.83 78.83 60.00
Positions (direct):
K (0.000, 0.000, 0.000)
P (0.229, 0.229, 0.312)
P (0.771, 0.771, 0.688)
Tc (0.500, 0.500, 0.500)

Calculated values
DFT formation energy ... -0.22 eV/atom
Relative energy among the computed polymorphs ... 142 meV per atom

The following is a DFT calculation (PBEsol) of a relaxed structure of K3Te3P.

Lattice parameters (Å, degrees): 10.231 10.231 10.231 90.00 90.00 90.00
Positions (direct):
K (0.069, 0.069, 0.069)
K (0.431, 0.931, 0.569)
K (0.931, 0.569, 0.431)
K (0.569, 0.431, 0.931)
K (0.568, 0.568, 0.568)
K (0.932, 0.432, 0.068)
K (0.432, 0.068, 0.932)
K (0.068, 0.932, 0.432)
K (0.327, 0.327, 0.327)
K (0.173, 0.673, 0.827)
K (0.673, 0.827, 0.173)
K (0.827, 0.173, 0.673)
P (0.772, 0.772, 0.772)
P (0.728, 0.228, 0.272)
P (0.228, 0.272, 0.728)
P (0.272, 0.728, 0.228)
Te (0.645, 0.459, 0.257)
Te (0.855, 0.541, 0.757)
Te (0.355, 0.959, 0.243)
Te (0.145, 0.041, 0.743)
Te (0.257, 0.645, 0.459)
Te (0.757, 0.855, 0.541)
Te (0.243, 0.355, 0.959)
Te (0.743, 0.145, 0.041)
Te (0.459, 0.257, 0.645)
Te (0.541, 0.757, 0.855)
Te (0.959, 0.243, 0.355)
Te (0.041, 0.743, 0.145)

Calculated values
Energy relative to the elements, uncorrected ... -0.6433 eV/atom

The following is a DFT calculation (PBEsol) of a relaxed structure of K4TeP.

Lattice parameters (Å, degrees): 6.465 6.465 6.465 60.00 60.00 60.00
Each line ends with the local moment (μB).
Positions (direct):
K (0.375, 0.375, 0.375)  0.01
K (0.375, 0.375, 0.875)  0.01
K (0.875, 0.375, 0.375)  0.01
K (0.375, 0.875, 0.375)  0.01
P (0.750, 0.750, 0.750)  0.31
Te (0.000, 0.000, 0.000)  0.14

Calculated values
Energy relative to the elements, uncorrected ... 0.1690 eV/atom

The following is a DFT calculation (PBEsol) of a relaxed structure of KTeP2.

Lattice parameters (Å, degrees): 3.460 3.460 8.275 90.00 90.00 90.00
Positions (direct):
K (0.500, 0.500, 0.747)
P (0.000, 0.000, 0.161)
P (0.500, 0.500, 0.124)
Te (0.000, 0.000, 0.469)

Calculated values
Energy relative to the elements, uncorrected ... 0.0365 eV/atom

The following is a DFT calculation (PBEsol) of a relaxed structure of KTeP2.

Lattice parameters (Å, degrees): 6.525 6.940 9.853 89.74 90.00 90.00
Positions (direct):
K (0.250, 0.526, 0.613)
K (0.750, 0.474, 0.387)
K (0.250, 0.721, 0.989)
K (0.750, 0.279, 0.011)
P (0.005, 0.888, 0.421)
P (0.505, 0.112, 0.579)
P (0.995, 0.112, 0.579)
P (0.495, 0.888, 0.421)
P (0.250, 0.993, 0.704)
P (0.750, 0.007, 0.296)
P (0.250, 0.985, 0.280)
P (0.750, 0.015, 0.720)
Te (0.250, 0.206, 0.907)
Te (0.750, 0.794, 0.093)
Te (0.250, 0.342, 0.260)
Te (0.750, 0.658, 0.740)

Calculated values
Energy relative to the elements, uncorrected ... -0.4152 eV/atom

The following is a DFT calculation (PBEsol) of a relaxed structure of KTe2P.

Lattice parameters (Å, degrees): 3.058 5.823 5.823 90.27 90.00 90.00
Positions (direct):
K (0.500, 0.000, 0.000)
P (0.500, 0.500, 0.500)
Te (0.000, 0.000, 0.500)
Te (0.000, 0.500, 0.000)

Calculated values
Energy relative to the elements, uncorrected ... 0.1397 eV/atom

The following is a DFT calculation (PBEsol) of a relaxed structure of K2TeP.

Lattice parameters (Å, degrees): 4.816 4.816 6.078 113.34 113.34 90.00
Positions (direct):
K (0.000, 0.000, 0.000)
K (0.750, 0.250, 0.500)
P (0.500, 0.500, 0.000)
Te (0.250, 0.750, 0.500)

Calculated values
Energy relative to the elements, uncorrected ... -0.0659 eV/atom

The following is a DFT calculation (PBEsol) of a relaxed structure of K3Te3P.

Lattice parameters (Å, degrees): 8.890 9.597 12.970 90.00 90.00 113.99
Positions (direct):
K (0.058, 0.218, 0.723)
K (0.942, 0.282, 0.223)
K (0.942, 0.782, 0.277)
K (0.058, 0.718, 0.777)
K (0.273, 0.806, 0.058)
K (0.727, 0.694, 0.558)
K (0.727, 0.194, 0.942)
K (0.273, 0.306, 0.442)
K (0.510, 0.998, 0.658)
K (0.490, 0.502, 0.158)
K (0.490, 0.002, 0.342)
K (0.510, 0.498, 0.842)
P (0.877, 0.859, 0.996)
P (0.123, 0.641, 0.496)
P (0.123, 0.141, 0.004)
P (0.877, 0.359, 0.504)
Te (0.846, 0.583, 0.016)
Te (0.154, 0.917, 0.516)
Te (0.154, 0.417, 0.984)
Te (0.846, 0.083, 0.484)
Te (0.763, 0.879, 0.821)
Te (0.237, 0.621, 0.321)
Te (0.237, 0.121, 0.179)
Te (0.763, 0.379, 0.679)
Te (0.688, 0.903, 0.125)
Te (0.312, 0.597, 0.625)
Te (0.312, 0.097, 0.875)
Te (0.688, 0.403, 0.375)

Calculated values
Energy relative to the elements, uncorrected ... -0.6435 eV/atom

The following is a DFT calculation (PBEsol) of a relaxed structure of KTeP2.

Lattice parameters (Å, degrees): 3.138 3.138 9.219 90.00 90.00 90.00
Positions (direct):
K (0.500, 0.500, 0.793)
P (0.000, 0.000, 0.057)
P (0.500, 0.500, 0.155)
Te (0.000, 0.000, 0.495)

Calculated values
Energy relative to the elements, uncorrected ... -0.0862 eV/atom

The following is a DFT calculation (PBEsol) of a relaxed structure of K5TeP.

Lattice parameters (Å, degrees): 5.464 5.464 8.455 90.00 90.00 90.00
Positions (direct):
P (0.500, 0.500, 0.000)
K (0.500, 0.000, 0.201)
K (0.500, 0.000, 0.799)
K (0.000, 0.500, 0.201)
K (0.000, 0.500, 0.799)
K (0.500, 0.500, 0.500)
Te (0.000, 0.000, 0.500)

Calculated values
Energy relative to the elements, uncorrected ... -0.5465 eV/atom

The following is a DFT calculation (PBEsol) of a relaxed structure of K2TlP.

Lattice parameters (Å, degrees): 3.258 5.496 6.997 95.79 90.00 107.24
Positions (direct):
K (0.738, 0.476, 0.712)
K (0.262, 0.524, 0.288)
P (0.000, 0.000, 0.500)
Tl (0.500, 0.000, 0.000)

Calculated values
DFT formation energy ... 0.15 eV/atom
Relative energy among the computed polymorphs ... 355 meV per atom

The following is a DFT calculation (PBEsol) of a relaxed structure of K2TlP.

Lattice parameters (Å, degrees): 4.176 5.080 6.733 112.05 90.00 90.00
Positions (direct):
P (0.000, 0.174, 0.476)
Tl (0.500, 0.308, 0.741)
K (0.000, 0.910, 0.944)
K (0.500, 0.607, 0.339)

Calculated values
DFT formation energy ... -0.21 eV/atom
Relative energy among the computed polymorphs ... 0 meV per atom

The following is a DFT calculation (PBEsol) of a relaxed structure of KTl2P.

Lattice parameters (Å, degrees): 4.627 4.627 4.820 90.00 90.00 90.00
Positions (direct):
K (0.500, 0.500, 0.500)
P (0.000, 0.000, 0.500)
Tl (0.000, 0.500, 0.000)
Tl (0.500, 0.000, 0.000)

Calculated values
DFT formation energy ... 0.10 eV/atom

The following is a DFT calculation (PBEsol) of a relaxed structure of KTlP.

Lattice parameters (Å, degrees): 3.406 5.081 5.081 120.00 90.00 90.00
Positions (direct):
K (0.998, 0.000, 0.000)
P (0.570, 0.333, 0.667)
Tl (0.432, 0.667, 0.333)

Calculated values
DFT formation energy ... 0.08 eV/atom

The following is a DFT calculation (PBEsol) of a relaxed structure of K2TlP.

Lattice parameters (Å, degrees): 4.051 5.499 6.559 114.78 107.99 90.00
Positions (direct):
P (0.533, 0.533, 0.066)
Tl (0.188, 0.688, 0.377)
K (0.979, 0.979, 0.957)
K (0.800, 0.300, 0.600)

Calculated values
DFT formation energy ... -0.20 eV/atom
Relative energy among the computed polymorphs ... 4 meV per atom

The following is a DFT calculation (PBEsol) of a relaxed structure of K2TlP.

Lattice parameters (Å, degrees): 3.515 3.515 11.324 81.07 81.07 60.00
Positions (direct):
K (0.238, 0.238, 0.287)
K (0.762, 0.762, 0.713)
P (0.500, 0.500, 0.500)
Tl (0.000, 0.000, 0.000)

Calculated values
DFT formation energy ... 0.20 eV/atom
Relative energy among the computed polymorphs ... 407 meV per atom

The following is a DFT calculation (PBEsol) of a relaxed structure of KPW.

Lattice parameters (Å, degrees): 4.420 4.420 4.420 60.00 60.00 60.00
Each line ends with the local moment (μB).
Positions (direct):
K (0.500, 0.500, 0.500)  0.04
P (0.250, 0.250, 0.250)  -0.07
W (0.000, 0.000, 0.000)  1.25

Calculated values
DFT formation energy ... 1.42 eV/atom
Relative energy among the computed polymorphs ... 0 meV per atom

The following is a DFT calculation (PBEsol) of a relaxed structure of KPW4.

Lattice parameters (Å, degrees): 5.382 5.382 5.382 60.00 60.00 60.00
Positions (direct):
K (0.750, 0.750, 0.750)
P (0.000, 0.000, 0.000)
W (0.377, 0.377, 0.377)
W (0.377, 0.377, 0.870)
W (0.870, 0.377, 0.377)
W (0.377, 0.870, 0.377)

Calculated values
DFT formation energy ... 1.45 eV/atom

The following is a DFT calculation (PBEsol) of a relaxed structure of KY2P.

Lattice parameters (Å, degrees): 3.800 3.881 9.229 102.19 90.00 90.00
Each line ends with the local moment (μB).
Positions (direct):
K (0.000, 0.336, 0.546)  0.00
P (0.500, 0.495, 0.866)  0.01
Y (0.000, 0.022, 0.919)  0.09
Y (0.500, 0.647, 0.169)  0.17

Calculated values
DFT formation energy ... -0.47 eV/atom

The following is a DFT calculation (PBEsol) of a relaxed structure of KY2P.

Lattice parameters (Å, degrees): 3.681 3.783 10.509 100.37 100.09 90.00
Each line ends with the local moment (μB).
Positions (direct):
K (0.563, 0.563, 0.125)  0.00
P (0.292, 0.792, 0.585)  -0.01
Y (0.894, 0.894, 0.788)  0.36
Y (0.751, 0.251, 0.502)  0.20

Calculated values
DFT formation energy ... -0.40 eV/atom